Record 1
Below is crystalline KAgOs3 at its relaxed geometry, with properties calculated at the GGA-PBE level.

Cell: 4.609 4.609 4.609 Å, 90.00 90.00 90.00°
Atoms (fractional coordinates):
K: 0.000 0.000 0.000
Ag: 0.500 0.500 0.500
Os: 0.000 0.000 0.500
Os: 0.000 0.500 0.000
Os: 0.500 0.000 0.000

## Properties
Magnetization in μB/f.u.: 2.9
Calculated formation energy in eV/atom: 3.840
Space group: Pm-3m (221)
Total energy in eV/atom: -3.687
Polymorph energy (0 for the lowest one) in meV/atom: 932

***

Record 2
Below is crystalline KAg3Os at its relaxed geometry, with properties calculated at the GGA-PBE level.

Cell: 5.097 5.097 5.097 Å, 90.00 90.00 90.00°
Atoms (fractional coordinates):
K: 0.000 0.000 0.000
Ag: 0.000 0.000 0.500
Ag: 0.000 0.500 0.000
Ag: 0.500 0.000 0.000
Os: 0.500 0.500 0.500

## Properties
Magnetization in μB/f.u.: 2.1
Calculated formation energy in eV/atom: 2.236
Space group: Pm-3m (221)
Total energy in eV/atom: -1.940
Polymorph energy (0 for the lowest one) in meV/atom: 1251

***

Record 3
Below is crystalline KAgOs2 at its relaxed geometry, with properties calculated at the GGA-PBE level.

Cell: 2.722 2.722 10.858 Å, 90.00 90.00 118.57°
Atoms (fractional coordinates):
K: 0.000 0.000 0.000
Ag: 0.000 0.000 0.500
Os: 0.500 0.500 0.269
Os: 0.500 0.500 0.731

## Properties
Magnetization in μB/f.u.: 0.0
Calculated formation energy in eV/atom: 1.067
Space group: Cmmm (65)
Total energy in eV/atom: -5.535
Polymorph energy (0 for the lowest one) in meV/atom: 435